Compound: Cr2HgSe
Source: the Alexandria database
Functional: PBE
Structure: relaxed

ΔE to the lowest computed polymorph: 257 meV per atom
energy relative to the elements, uncorrected: 471 meV/atom
calculated density: 6.53 Mg/m³

Cell: 4.9379 4.9379 8.7263 Å, 73.56 73.56 90.00°
Element x y z (fractional)
Hg  0.0000  0.0000  0.0000
Hg  0.7500  0.2500  0.5000
Se  0.5000  0.5000  0.0000
Se  0.2500  0.7500  0.5000
Cr  0.3750  0.4352  0.7500
Cr  0.8750  0.8148  0.7500
Cr  0.1852  0.6250  0.2500
Cr  0.5648  0.1250  0.2500

Compound: Pr2ErSb3Pt4
Source: the Alexandria database
Functional: PBE
Structure: relaxed

energy relative to the elements, uncorrected: -962 meV/atom
calculated density: 11.29 Mg/m³

Cell: 4.5287 4.5287 11.4403 Å, 90.00 90.00 90.00°
Element x y z (fractional)
Er  0.5000  0.5000  0.5000
Pt  0.5000  0.0000  0.6415
Pt  0.5000  0.5000  0.0000
Pt  0.0000  0.5000  0.3585
Pt  0.0000  0.0000  0.0000
Sb  0.0000  0.5000  0.1309
Sb  0.0000  0.0000  0.5000
Sb  0.5000  0.0000  0.8691
Pr  0.0000  0.5000  0.7843
Pr  0.5000  0.0000  0.2157

Compound: YAsPd3
Source: the Alexandria database
Functional: PBE
Structure: relaxed

ΔE to the lowest computed polymorph: 1202 meV per atom
calculated density: 6.40 Mg/m³
energy relative to the elements: 709 meV per atom

Cell: 5.0035 5.0035 5.0035 Å, 90.00 90.00 90.00°
Element x y z (fractional)
As  0.5000  0.5000  0.5000
Pd  0.0000  0.5000  0.0000
Pd  0.0000  0.0000  0.5000
Pd  0.5000  0.0000  0.0000
Y  0.0000  0.0000  0.0000

Compound: Pu2CuSi
Source: the Alexandria database
Functional: PBE
Structure: relaxed

energy relative to the elements, uncorrected: -160 meV/atom
calculated density: 12.06 Mg/m³

Cell: 3.7922 3.7922 5.5483 Å, 90.00 90.00 90.00°
Element x y z (fractional)
Si  0.5000  0.5000  0.5000
Pu  0.0000  0.0000  0.7449
Pu  0.0000  0.0000  0.2551
Cu  0.5000  0.5000  0.0000

Compound: PrCuHgAu
Source: the Alexandria database
Functional: PBE
Structure: relaxed

calculated density: 11.49 Mg/m³
energy relative to the elements: -343 meV per atom

Cell: 4.9731 4.9731 4.9731 Å, 60.00 60.00 60.00°
Element x y z (fractional)
Au  0.2500  0.2500  0.2500
Cu  0.7500  0.7500  0.7500
Pr  0.0000  0.0000  0.0000
Hg  0.5000  0.5000  0.5000

Compound: Nd2Ho2Tl7
Source: the Alexandria database
Functional: PBE
Structure: relaxed

calculated density: 9.26 Mg/m³
energy relative to the elements: 50 meV per atom

Cell: 6.9070 7.9421 6.9070 Å, 90.00 104.15 90.00°
Element x y z (fractional)
Ho  0.8062  0.5000  0.8062
Ho  0.1938  0.5000  0.1938
Tl  0.5002  0.7030  0.4998
Tl  0.4997  0.2993  0.0002
Tl  0.5003  0.7007  0.9998
Tl  0.0000  0.0000  0.0000
Tl  0.4998  0.2970  0.5002
Tl  0.0002  0.7007  0.4997
Tl  0.9998  0.2993  0.5003
Nd  0.6956  0.0000  0.3044
Nd  0.3044  0.0000  0.6956

The highest calculated density belongs to which entry? Pu2CuSi

What is the formula in the third record? YAsPd3

What is the formula in the third record? YAsPd3